# 1
## Ac12NdCo5 (GGA-PBE)

Data for a relaxed Ac12NdCo5 crystal.

Properties
E_form = 0.48 eV/f.u.
SG = No. 1

Unit cell a=7.3796 b=7.4365 c=14.1374 alpha=78.88 beta=75.66 gamma=60.28
Fractional coordinates of all 18 atoms:
Ac1 0.0000 0.0000 0.0000
Ac2 0.0184 0.4316 0.2905
Ac3 0.1928 0.3256 0.7572
Ac4 0.2751 0.0615 0.5128
Ac5 0.3550 0.7810 0.2887
Ac6 0.4687 0.4788 0.0627
Ac7 0.5143 0.6778 0.7803
Ac8 0.5995 0.4005 0.5122
Ac9 0.6992 0.0912 0.2902
Ac10 0.8258 0.0591 0.7638
Ac11 0.9393 0.7276 0.5141
Ac12 0.9726 0.5208 0.9969
Nd1 0.4879 0.0184 0.9974
Co1 0.3151 0.4166 0.3982
Co2 0.4251 0.3606 0.8876
Co3 0.6455 0.7488 0.4056
Co4 0.7971 0.3514 0.8901
Co5 0.9791 0.0810 0.4081

=====

# 2
## CdMo2P (GGA-PBE)

Data for a relaxed CdMo2P crystal.

Properties
distance to the lowest polymorph of the same formula = 240 meV/atom
E_form = 0.95 eV/f.u.
SG = No. 35

Unit cell a=3.2938 b=4.5712 c=9.2512 alpha=90.00 beta=90.00 gamma=90.00
Fractional coordinates of all 8 atoms:
Cd1 0.0000 0.0000 0.0000
Cd2 0.5000 0.5000 0.0000
Mo1 0.0000 0.0000 0.4914
Mo2 0.0000 0.5000 0.2603
Mo3 0.5000 0.0000 0.2603
Mo4 0.5000 0.5000 0.4914
P1 0.0000 0.5000 0.6899
P2 0.5000 0.0000 0.6899

=====

We obtain total DFT energy (no corrections) values of -89.1 -27.0 eV/f.u. for the records listed above, in that order.
We obtain total magnetic moment values of 0.0 0.0 μB per formula unit for the records listed above, in that order.